[1]
Below is an optimized crystal structure of BaTa2Te, with properties calculated at the PBE level.

As for the total magnetization: 0.47 μB per formula unit. Its formation energy without anion corrections is 0.3066 eV/atom. The final energy comes out at -6.8859 eV per atom.

The space group is Cm (No. 8) and the conventional cell measures 9.1033, 3.4741 and 7.2271 Å, with angles of 90.00, 98.72 and 90.00 degrees. The asymmetric unit holds Ba at (0.0000, 0.0000, 0.0000), Ta at (0.0059, 0.5000, 0.4795), Ta at (0.2765, 0.5000, 0.3495) and Te at (0.2419, 0.0000, 0.6635).



[2]
Below is an optimized crystal structure of BaTa2Te, with properties calculated at the PBE level.

As for the total magnetization: 0.00 μB per formula unit. Its formation energy without anion corrections is 0.8625 eV/atom. The final energy comes out at -6.3300 eV per atom.

The space group is I-4m2 (No. 119) and the conventional cell measures 4.9053, 4.9053 and 8.1749 Å, with angles of 90.00, 90.00 and 90.00 degrees. The asymmetric unit holds Ba at (0.0000, 0.0000, 0.0000), Ta at (0.0000, 0.0000, 0.5000), Ta at (0.0000, 0.5000, 0.7500) and Te at (0.0000, 0.5000, 0.2500).



- Number 1 is which compound?
  BaTa2Te



Repeat the second record exactly.
Below is an optimized crystal structure of BaTa2Te, with properties calculated at the PBE level.

As for the total magnetization: 0.00 μB per formula unit. Its formation energy without anion corrections is 0.8625 eV/atom. The final energy comes out at -6.3300 eV per atom.

The space group is I-4m2 (No. 119) and the conventional cell measures 4.9053, 4.9053 and 8.1749 Å, with angles of 90.00, 90.00 and 90.00 degrees. The asymmetric unit holds Ba at (0.0000, 0.0000, 0.0000), Ta at (0.0000, 0.0000, 0.5000), Ta at (0.0000, 0.5000, 0.7500) and Te at (0.0000, 0.5000, 0.2500).